A | UFe4P2: optimized geometry, GGA-PBE.

- D(E_F): 1.3438 states/eV/atom
- Magnetization: 1.02 μB per cell
- Calculated volume: 175.7 Å³/cell

a b c (Å): 3.540 7.044 7.044
angles (deg): 90.00 90.00 90.00
Site moments in Bohr magnetons follow the coordinates.
Fractional coordinates of all 14 atoms:
P  0.500  0.276  0.276  0.00
Fe  0.000  0.656  0.923  0.23
Fe  0.000  0.344  0.077  0.23
P  0.000  0.224  0.776  0.00
Fe  0.500  0.577  0.156  0.23
Fe  0.500  0.423  0.844  0.23
Fe  0.000  0.923  0.656  0.23
P  0.500  0.724  0.724  0.00
U  0.000  0.500  0.500  -1.28
Fe  0.500  0.156  0.577  0.23
P  0.000  0.776  0.224  0.00
U  0.500  0.000  0.000  -1.28
Fe  0.500  0.844  0.423  0.23
Fe  0.000  0.077  0.344  0.23



B | UFe4P2: optimized geometry, GGA-PBE.

- D(E_F): 1.0891 states/eV/atom
- Magnetization: 1.78 μB per cell
- Calculated volume: 92.7 Å³/cell

a b c (Å): 3.556 3.697 7.303
angles (deg): 104.67 86.84 90.01
Site moments in Bohr magnetons follow the coordinates.
Fractional coordinates of all 7 atoms:
Fe  0.768  0.254  0.508  0.58
Fe  0.232  0.746  0.492  0.58
Fe  0.307  0.127  0.255  0.47
U  0.000  0.000  0.000  -0.28
P  0.243  0.352  0.703  -0.01
P  0.757  0.648  0.297  -0.01
Fe  0.693  0.873  0.745  0.47



A takes first place; second place is 21.9 kJ/mol of atoms up.



A | VFe3P: optimized geometry, GGA-PBE.

- D(E_F): 0.8197 states/eV/atom
- Magnetization: 3.00 μB per cell
- Calculated volume: 71.0 Å³/cell

a b c (Å): 4.140 4.140 4.140
angles (deg): 90.00 90.00 90.00
Site moments in Bohr magnetons follow the coordinates.
Fractional coordinates of all 5 atoms:
Fe  0.000  0.000  0.500  1.99
Fe  0.000  0.500  0.000  1.99
P  0.000  0.000  0.000  -0.05
Fe  0.500  0.000  0.000  1.99
V  0.500  0.500  0.500  -2.40



B | VFe3P: optimized geometry, GGA-PBE.

- D(E_F): 0.8598 states/eV/atom
- Magnetization: 4.96 μB per cell
- Calculated volume: 77.7 Å³/cell

a b c (Å): 4.267 4.267 4.267
angles (deg): 90.00 90.00 90.00
Site moments in Bohr magnetons follow the coordinates.
Fractional coordinates of all 5 atoms:
P  0.500  0.500  0.500  0.02
V  0.000  0.000  0.000  -1.26
Fe  0.000  0.000  0.500  2.05
Fe  0.000  0.500  0.000  2.05
Fe  0.500  0.000  0.000  2.05



A takes first place; second place is 89.1 kJ/mol of atoms up.



A | VFeP3: optimized geometry, GGA-PBE.

- D(E_F): 1.2305 states/eV/atom
- Magnetization: 3.20 μB per cell
- Calculated volume: 91.1 Å³/cell

a b c (Å): 4.499 4.499 4.499
angles (deg): 90.00 90.00 90.00
Site moments in Bohr magnetons follow the coordinates.
Fractional coordinates of all 5 atoms:
P  0.500  0.000  0.000  -0.06
Fe  0.500  0.500  0.500  3.15
P  0.000  0.500  0.000  -0.06
V  0.000  0.000  0.000  0.19
P  0.000  0.000  0.500  -0.06



B | VFeP3: optimized geometry, GGA-PBE.

- D(E_F): 1.0770 states/eV/atom
- Magnetization: 3.79 μB per cell
- Calculated volume: 81.9 Å³/cell

a b c (Å): 4.343 4.343 4.343
angles (deg): 90.00 90.00 90.00
Site moments in Bohr magnetons follow the coordinates.
Fractional coordinates of all 5 atoms:
P  0.000  0.000  0.500  -0.03
P  0.000  0.500  0.000  -0.03
V  0.500  0.500  0.500  2.69
Fe  0.000  0.000  0.000  0.75
P  0.500  0.000  0.000  -0.03



B takes first place; second place is 6.9 kJ/mol of atoms up.



A | Fe2P2W: optimized geometry, GGA-PBE.

- D(E_F): 0.9626 states/eV/atom
- Magnetization: 0.00 μB per cell
- Calculated volume: 116.2 Å³/cell

a b c (Å): 6.626 6.626 2.648
angles (deg): 90.00 90.00 90.00
Fractional coordinates of all 10 atoms:
Fe  0.857  0.357  0.500
Fe  0.357  0.143  0.500
Fe  0.143  0.643  0.500
P  0.653  0.153  0.000
P  0.347  0.847  0.000
W  0.000  0.000  0.000
Fe  0.643  0.857  0.500
P  0.847  0.653  0.000
P  0.153  0.347  0.000
W  0.500  0.500  0.000



B | Fe2P2W: optimized geometry, GGA-PBE.

- D(E_F): 0.7960 states/eV/atom
- Magnetization: 0.00 μB per cell
- Calculated volume: 59.8 Å³/cell

a b c (Å): 3.638 3.638 5.197
angles (deg): 69.51 69.51 90.00
Fractional coordinates of all 5 atoms:
W  0.000  0.000  0.000
P  0.620  0.620  0.761
P  0.380  0.380  0.239
Fe  0.250  0.750  0.500
Fe  0.750  0.250  0.500



A takes first place; second place is 8.2 kJ/mol of atoms up.



A | FePW3: optimized geometry, GGA-PBE.

- D(E_F): 1.7664 states/eV/atom
- Magnetization: 0.00 μB per cell
- Calculated volume: 84.9 Å³/cell

a b c (Å): 4.395 4.395 4.395
angles (deg): 90.00 90.00 90.00
Fractional coordinates of all 5 atoms:
P  0.000  0.000  0.000
W  0.000  0.500  0.000
W  0.000  0.000  0.500
Fe  0.500  0.500  0.500
W  0.500  0.000  0.000



B | FePW3: optimized geometry, GGA-PBE.

- D(E_F): 1.2032 states/eV/atom
- Magnetization: 0.00 μB per cell
- Calculated volume: 88.8 Å³/cell

a b c (Å): 4.462 4.462 4.462
angles (deg): 90.00 90.00 90.00
Fractional coordinates of all 5 atoms:
W  0.000  0.500  0.000
P  0.500  0.500  0.500
Fe  0.000  0.000  0.000
W  0.000  0.000  0.500
W  0.500  0.000  0.000



A takes first place; second place is 31.8 kJ/mol of atoms up.



A | YFeP3: optimized geometry, GGA-PBE.

- D(E_F): 1.6276 states/eV/atom
- Magnetization: 0.00 μB per cell
- Calculated volume: 88.3 Å³/cell

a b c (Å): 4.453 4.453 4.453
angles (deg): 90.00 90.00 90.00
Fractional coordinates of all 5 atoms:
P  0.000  0.000  0.500
Y  0.500  0.500  0.500
P  0.500  0.000  0.000
P  0.000  0.500  0.000
Fe  0.000  0.000  0.000



B | YFeP3: optimized geometry, GGA-PBE.

- D(E_F): 1.7246 states/eV/atom
- Magnetization: 3.55 μB per cell
- Calculated volume: 139.8 Å³/cell

a b c (Å): 5.189 5.189 5.189
angles (deg): 90.00 90.00 90.00
Site moments in Bohr magnetons follow the coordinates.
Fractional coordinates of all 5 atoms:
P  0.500  0.000  0.000  0.01
Y  0.000  0.000  0.000  0.01
P  0.000  0.000  0.500  -0.06
Fe  0.500  0.500  0.500  3.41
P  0.000  0.500  0.000  -0.02



A takes first place; second place is 124.8 kJ/mol of atoms up.



A | YFeP2: optimized geometry, GGA-PBE.

- D(E_F): 0.7418 states/eV/atom
- Magnetization: 0.03 μB per cell
- Calculated volume: 65.1 Å³/cell

a b c (Å): 5.889 5.889 5.889
angles (deg): 36.64 36.64 36.64
Fractional coordinates of all 4 atoms:
P  0.278  0.278  0.278
P  0.051  0.051  0.051
Y  0.493  0.493  0.493
Fe  0.678  0.678  0.678



B | YFeP2: optimized geometry, GGA-PBE.

- D(E_F): 0.8255 states/eV/atom
- Magnetization: 2.59 μB per cell
- Calculated volume: 67.9 Å³/cell

a b c (Å): 3.512 4.396 4.396
angles (deg): 90.00 90.00 90.00
Site moments in Bohr magnetons follow the coordinates.
Fractional coordinates of all 4 atoms:
Fe  0.500  0.000  0.500  2.71
Y  0.500  0.500  0.000  -0.04
P  0.000  0.500  0.500  -0.03
P  0.000  0.000  0.000  -0.03



A takes first place; second place is 48.2 kJ/mol of atoms up.



A | YFeP2: optimized geometry, GGA-PBE.

- D(E_F): 0.5683 states/eV/atom
- Magnetization: 0.77 μB per cell
- Calculated volume: 68.9 Å³/cell

a b c (Å): 3.771 3.842 4.755
angles (deg): 89.95 90.00 90.00
Site moments in Bohr magnetons follow the coordinates.
Fractional coordinates of all 4 atoms:
Y  0.500  0.250  0.250  -0.06
Fe  0.500  0.750  0.750  0.93
P  0.000  0.749  0.495  -0.01
P  0.000  0.751  0.005  -0.01



B | YFeP2: optimized geometry, GGA-PBE.

- D(E_F): 0.5955 states/eV/atom
- Magnetization: 0.67 μB per cell
- Calculated volume: 66.3 Å³/cell

a b c (Å): 6.360 6.360 6.360
angles (deg): 149.32 149.56 43.77
Site moments in Bohr magnetons follow the coordinates.
Fractional coordinates of all 4 atoms:
Y  0.454  0.454  0.000  -0.03
P  0.766  0.266  0.500  -0.04
P  0.079  0.079  0.000  -0.01
Fe  0.201  0.701  0.500  0.79



C | YFeP2: optimized geometry, GGA-PBE.

- D(E_F): 0.7713 states/eV/atom
- Magnetization: 0.49 μB per cell
- Calculated volume: 68.1 Å³/cell

a b c (Å): 4.668 4.668 4.668
angles (deg): 132.40 105.92 92.94
Site moments in Bohr magnetons follow the coordinates.
Fractional coordinates of all 4 atoms:
Fe  0.250  0.750  0.500  0.50
Y  0.750  0.250  0.500  -0.02
P  0.067  0.067  0.000  0.00
P  0.433  0.433  0.000  0.00



A takes first place; second place is 7.1 kJ/mol of atoms up.



A | YFeP2: optimized geometry, GGA-PBE.

- D(E_F): 0.7199 states/eV/atom
- Magnetization: 1.38 μB per cell
- Calculated volume: 64.3 Å³/cell

a b c (Å): 3.235 3.235 6.142
angles (deg): 90.00 90.00 90.01
Site moments in Bohr magnetons follow the coordinates.
Fractional coordinates of all 4 atoms:
Fe  0.500  0.500  0.845  1.57
P  0.000  0.000  0.964  -0.03
P  0.500  0.500  0.210  0.00
Y  0.000  0.000  0.482  -0.09



B | YFeP2: optimized geometry, GGA-PBE.

- D(E_F): 1.0380 states/eV/atom
- Magnetization: 2.89 μB per cell
- Calculated volume: 68.4 Å³/cell

a b c (Å): 5.400 5.400 5.400
angles (deg): 138.51 138.51 60.12
Site moments in Bohr magnetons follow the coordinates.
Fractional coordinates of all 4 atoms:
P  0.000  0.000  0.000  0.02
Y  0.500  0.500  0.000  -0.01
Fe  0.750  0.250  0.500  2.77
P  0.250  0.750  0.500  0.01



C | YFeP2: optimized geometry, GGA-PBE.

- D(E_F): 1.0242 states/eV/atom
- Magnetization: 1.05 μB per cell
- Calculated volume: 147.7 Å³/cell

a b c (Å): 4.552 4.552 7.821
angles (deg): 73.08 73.08 90.00
Site moments in Bohr magnetons follow the coordinates.
Fractional coordinates of all 8 atoms:
P  0.450  0.125  0.250  0.00
Y  0.750  0.250  0.500  0.01
P  0.875  0.700  0.750  0.00
P  0.375  0.550  0.750  0.00
Fe  0.500  0.500  0.000  0.49
Fe  0.250  0.750  0.500  0.49
Y  0.000  0.000  0.000  0.01
P  0.300  0.625  0.250  0.00



C takes first place; second place is 22.8 kJ/mol of atoms up.



A | YFeP2: optimized geometry, GGA-PBE.

- D(E_F): 1.2010 states/eV/atom
- Magnetization: 1.75 μB per cell
- Calculated volume: 66.5 Å³/cell

a b c (Å): 4.547 4.547 4.547
angles (deg): 60.00 60.00 60.00
Site moments in Bohr magnetons follow the coordinates.
Fractional coordinates of all 4 atoms:
Y  0.500  0.500  0.500  -0.06
Fe  0.000  0.000  0.000  2.23
P  0.250  0.250  0.250  -0.10
P  0.750  0.750  0.750  -0.10



B | YFeP2: optimized geometry, GGA-PBE.

- D(E_F): 0.7096 states/eV/atom
- Magnetization: 2.22 μB per cell
- Calculated volume: 69.3 Å³/cell

a b c (Å): 3.440 3.440 6.257
angles (deg): 90.00 90.00 110.59
Site moments in Bohr magnetons follow the coordinates.
Fractional coordinates of all 4 atoms:
P  0.000  0.000  0.946  0.01
Y  0.500  0.500  0.250  0.00
Fe  0.500  0.500  0.750  2.09
P  0.000  0.000  0.554  0.01



C | YFeP2: optimized geometry, GGA-PBE.

- D(E_F): 0.8990 states/eV/atom
- Magnetization: 0.29 μB per cell
- Calculated volume: 63.1 Å³/cell

a b c (Å): 3.754 3.754 5.606
angles (deg): 70.26 70.26 60.14
Site moments in Bohr magnetons follow the coordinates.
Fractional coordinates of all 4 atoms:
Y  0.250  0.250  0.250  0.00
Fe  0.750  0.750  0.750  0.29
P  0.469  0.469  0.591  0.00
P  0.031  0.031  0.909  0.00



D | YFeP2: optimized geometry, GGA-PBE.

- D(E_F): 0.6651 states/eV/atom
- Magnetization: 2.16 μB per cell
- Calculated volume: 63.0 Å³/cell

a b c (Å): 3.158 3.158 6.316
angles (deg): 90.00 90.00 90.00
Site moments in Bohr magnetons follow the coordinates.
Fractional coordinates of all 4 atoms:
Y  0.500  0.500  0.250  0.14
P  0.000  0.000  0.940  -0.03
P  0.000  0.000  0.560  -0.03
Fe  0.500  0.500  0.750  2.05



C takes first place; second place is 37.2 kJ/mol of atoms up.



A | YFeP2: optimized geometry, GGA-PBE.

- D(E_F): 1.4646 states/eV/atom
- Magnetization: 1.78 μB per cell
- Calculated volume: 66.3 Å³/cell

a b c (Å): 4.543 4.543 4.543
angles (deg): 60.00 60.00 60.00
Site moments in Bohr magnetons follow the coordinates.
Fractional coordinates of all 4 atoms:
Y  0.750  0.750  0.750  -0.16
P  0.250  0.250  0.250  -0.04
P  0.000  0.000  0.000  0.01
Fe  0.500  0.500  0.500  2.10



B | YFeP2: optimized geometry, GGA-PBE.

- D(E_F): 0.6764 states/eV/atom
- Magnetization: 1.59 μB per cell
- Calculated volume: 72.5 Å³/cell

a b c (Å): 4.286 3.912 4.321
angles (deg): 89.93 90.00 90.00
Site moments in Bohr magnetons follow the coordinates.
Fractional coordinates of all 4 atoms:
Y  0.000  0.500  0.454  -0.01
P  0.000  0.002  0.963  -0.01
P  0.500  0.000  0.296  0.01
Fe  0.500  0.998  0.787  1.59



B takes first place; second place is 65.2 kJ/mol of atoms up.